# 1
YCd: relaxed, PBE.

D(E_F), states/eV/atom: 1.083
Electronic total energy, eV/atom: -3.7475
Energy relative to the elements, eV per atom: -0.058

abc: 6.082 6.082 6.256
angles: 90.00 90.00 90.00
Space group P4_2/mnm (No. 136)
Unique sites:
Y  0.201  0.201  0.000 (multiplicity 4)
Cd  0.189  0.189  0.500 (multiplicity 4)



# 2
BaLaOs2O8: relaxed, PBE.

D(E_F), states/eV/atom: 0.531
Electronic total energy, eV/atom: -7.4166
Formation energy without anion corrections, eV/atom: -1.67

abc: 6.0168 6.0168 7.8354
angles: 90.00 90.00 120.00
Space group P-3m1 (No. 164)
Unique sites:
Ba  0.0000  0.0000  0.0000 (multiplicity 1)
La  0.0000  0.0000  0.5000 (multiplicity 1)
Os  0.3333  0.6667  0.7895 (multiplicity 2)
O  0.1668  0.3336  0.7101 (multiplicity 6)
O  0.3333  0.6667  0.0191 (multiplicity 2)



# 3
SrZrTa2: relaxed, PBE.

D(E_F), states/eV/atom: 1.091
Electronic total energy, eV/atom: -7.5714
Energy above the lowest structure with this stoichiometry, eV/f.u.: 2.00
Energy relative to the elements, eV per atom: 0.912

abc: 4.238 4.238 5.061
angles: 90.00 90.00 90.00
Space group P4/mmm (No. 123)
Unique sites:
Sr  0.000  0.000  0.000 (multiplicity 1)
Zr  0.500  0.500  0.000 (multiplicity 1)
Ta  0.000  0.500  0.500 (multiplicity 2)



# 4
Pr8Ho5Th: relaxed, PBE.

D(E_F), states/eV/atom: 1.377
Electronic total energy, eV/atom: -4.7171
Energy relative to the elements, eV per atom: 0.179

abc: 8.596 8.725 8.747
angles: 113.63 117.44 97.17
Space group P1 (No. 1)
Unique sites:
Pr  0.000  0.000  0.000 (multiplicity 1)
Pr  0.025  0.818  0.436 (multiplicity 1)
Pr  0.170  0.492  0.145 (multiplicity 1)
Pr  0.232  0.298  0.535 (multiplicity 1)
Pr  0.352  0.141  0.895 (multiplicity 1)
Pr  0.484  0.756  0.660 (multiplicity 1)
Pr  0.611  0.387  0.431 (multiplicity 1)
Pr  0.665  0.969  0.155 (multiplicity 1)
Ho  0.139  0.652  0.804 (multiplicity 1)
Ho  0.403  0.957  0.366 (multiplicity 1)
Ho  0.755  0.550  0.904 (multiplicity 1)
Ho  0.842  0.357  0.199 (multiplicity 1)
Ho  0.896  0.183  0.665 (multiplicity 1)
Th  0.548  0.604  0.163 (multiplicity 1)



Q: electronic total energy of number 2 (BaLaOs2O8)?
A: -7.4166 eV/atom